No. 1
A geometry-optimized InCuGeTe3 structure, computed with PBE.

Properties
Polymorph energy (0 for the lowest one) in meV per atom: 0

abc: 6.9941 6.9941 11.5352
angles: 90.00 90.00 145.83
Fractional coordinates of all 12 atoms:
1 In 0.2344 0.7656 0.7500
2 In 0.7656 0.2344 0.2500
3 Cu 0.4589 0.5411 0.2500
4 Cu 0.5411 0.4589 0.7500
5 Ge 0.0000 0.0000 0.0000
6 Ge 0.0000 0.0000 0.5000
7 Te 0.0834 0.9166 0.2500
8 Te 0.3539 0.6461 0.0608
9 Te 0.3539 0.6461 0.4392
10 Te 0.6461 0.3539 0.5608
11 Te 0.6461 0.3539 0.9392
12 Te 0.9166 0.0834 0.7500

No. 2
A geometry-optimized CuGeIr structure, computed with PBE.

Properties
Polymorph energy (0 for the lowest one) in meV per atom: 0

abc: 4.0455 4.0455 4.0455
angles: 60.00 60.00 60.00
Fractional coordinates of all 3 atoms:
1 Cu 0.0000 0.0000 0.0000
2 Ge 0.2500 0.2500 0.2500
3 Ir 0.5000 0.5000 0.5000

No. 3
A geometry-optimized CuGe5Ir3 structure, computed with PBE.

Properties
Final energy in eV per atom: -5.74

abc: 5.3896 5.3896 6.4654
angles: 90.00 90.00 120.00
Fractional coordinates of all 9 atoms:
1 Cu 0.0000 0.0000 0.0000
2 Ge 0.0000 0.0000 0.5000
3 Ge 0.3333 0.6667 0.1913
4 Ge 0.3333 0.6667 0.8087
5 Ge 0.6667 0.3333 0.1913
6 Ge 0.6667 0.3333 0.8087
7 Ir 0.0000 0.5000 0.5000
8 Ir 0.5000 0.0000 0.5000
9 Ir 0.5000 0.5000 0.5000

No. 4
A geometry-optimized Cu2GeIr structure, computed with PBE.

Properties
Final energy in eV per atom: -5.24

abc: 4.2280 4.2280 4.2280
angles: 60.00 60.00 60.00
Fractional coordinates of all 4 atoms:
1 Cu 0.0000 0.0000 0.0000
2 Cu 0.2500 0.2500 0.2500
3 Ge 0.5000 0.5000 0.5000
4 Ir 0.7500 0.7500 0.7500

No. 5
A geometry-optimized La2CuGe4Ir structure, computed with PBE.

Properties
Final energy in eV per atom: -5.85

abc: 4.3903 8.8924 8.8924
angles: 28.58 90.00 90.00
Fractional coordinates of all 8 atoms:
1 La 0.0000 0.0000 0.0000
2 La 0.5000 0.2182 0.2182
3 Cu 0.0000 0.7815 0.7815
4 Ge 0.0000 0.3548 0.3548
5 Ge 0.0000 0.6433 0.6433
6 Ge 0.5000 0.5665 0.5665
7 Ge 0.5000 0.8549 0.8549
8 Ir 0.5000 0.4249 0.4249

No. 6
A geometry-optimized Li4CuGe2Ir structure, computed with PBE.

Properties
Final energy in eV per atom: -4.06

abc: 4.2367 4.2367 5.8887
angles: 90.00 90.00 90.00
Fractional coordinates of all 8 atoms:
1 Li 0.0000 0.0000 0.0000
2 Li 0.0000 0.5000 0.7416
3 Li 0.5000 0.0000 0.2584
4 Li 0.5000 0.5000 0.5000
5 Cu 0.0000 0.0000 0.5000
6 Ge 0.0000 0.5000 0.2403
7 Ge 0.5000 0.0000 0.7597
8 Ir 0.5000 0.5000 0.0000

No. 7
A geometry-optimized LuCuGeIr structure, computed with PBE.

Properties
Polymorph energy (0 for the lowest one) in meV per atom: 199

abc: 4.5833 4.5833 4.5833
angles: 60.00 60.00 60.00
Fractional coordinates of all 4 atoms:
1 Lu 0.0000 0.0000 0.0000
2 Cu 0.5000 0.5000 0.5000
3 Ge 0.2500 0.2500 0.2500
4 Ir 0.7500 0.7500 0.7500

No. 8
A geometry-optimized LuCuGeIr structure, computed with PBE.

Properties
Polymorph energy (0 for the lowest one) in meV per atom: 0

abc: 4.5308 4.5308 4.5308
angles: 60.00 60.00 60.00
Fractional coordinates of all 4 atoms:
1 Lu 0.0000 0.0000 0.0000
2 Cu 0.7500 0.7500 0.7500
3 Ge 0.5000 0.5000 0.5000
4 Ir 0.2500 0.2500 0.2500

No. 9
A geometry-optimized NbCuGeIr structure, computed with PBE.

Properties
Polymorph energy (0 for the lowest one) in meV per atom: 27

abc: 4.4142 4.4142 4.4142
angles: 60.00 60.00 60.00
Fractional coordinates of all 4 atoms:
1 Nb 0.0000 0.0000 0.0000
2 Cu 0.7500 0.7500 0.7500
3 Ge 0.5000 0.5000 0.5000
4 Ir 0.2500 0.2500 0.2500

No. 10
A geometry-optimized NbCuGeIr structure, computed with PBE.

Properties
Polymorph energy (0 for the lowest one) in meV per atom: 0

abc: 4.4162 4.4162 4.4162
angles: 60.00 60.00 60.00
Fractional coordinates of all 4 atoms:
1 Nb 0.0000 0.0000 0.0000
2 Cu 0.5000 0.5000 0.5000
3 Ge 0.2500 0.2500 0.2500
4 Ir 0.7500 0.7500 0.7500

No. 11
A geometry-optimized NdCuGe2Ir structure, computed with PBE.

Properties
Final energy in eV per atom: -5.95

abc: 4.3056 4.3056 10.0190
angles: 90.00 90.00 90.00
Fractional coordinates of all 10 atoms:
1 Nd 0.2500 0.2500 0.2489
2 Nd 0.7500 0.7500 0.7511
3 Cu 0.2500 0.7500 0.0000
4 Cu 0.7500 0.2500 0.0000
5 Ge 0.2500 0.2500 0.8696
6 Ge 0.2500 0.7500 0.5000
7 Ge 0.7500 0.2500 0.5000
8 Ge 0.7500 0.7500 0.1304
9 Ir 0.2500 0.2500 0.6248
10 Ir 0.7500 0.7500 0.3752

No. 12
A geometry-optimized PrNd2Cu2Ge4Ir2 structure, computed with PBE.

Properties
Final energy in eV per atom: -5.99

abc: 12.7568 12.7568 12.7568
angles: 161.14 160.93 26.95
Fractional coordinates of all 11 atoms:
1 Pr 0.0000 0.0000 0.0000
2 Nd 0.3507 0.8507 0.5000
3 Nd 0.6493 0.1493 0.5000
4 Cu 0.0965 0.5965 0.5000
5 Cu 0.9035 0.4035 0.5000
6 Ge 0.1940 0.6940 0.5000
7 Ge 0.4485 0.4485 0.0000
8 Ge 0.5515 0.5515 0.0000
9 Ge 0.8060 0.3060 0.5000
10 Ir 0.2495 0.2495 0.0000
11 Ir 0.7505 0.7505 0.0000

No. 13
A geometry-optimized CuNiGeIr structure, computed with PBE.

Properties
Polymorph energy (0 for the lowest one) in meV per atom: 178

abc: 4.2010 4.2010 4.2010
angles: 60.00 60.00 60.00
Fractional coordinates of all 4 atoms:
1 Cu 0.0000 0.0000 0.0000
2 Ni 0.5000 0.5000 0.5000
3 Ge 0.7500 0.7500 0.7500
4 Ir 0.2500 0.2500 0.2500

No. 14
A geometry-optimized CuNiGeIr structure, computed with PBE.

Properties
Polymorph energy (0 for the lowest one) in meV per atom: 0

abc: 4.1984 4.1984 4.1984
angles: 60.00 60.00 60.00
Fractional coordinates of all 4 atoms:
1 Cu 0.0000 0.0000 0.0000
2 Ni 0.2500 0.2500 0.2500
3 Ge 0.7500 0.7500 0.7500
4 Ir 0.5000 0.5000 0.5000

No. 15
A geometry-optimized CuGeIrOs structure, computed with PBE.

Properties
Polymorph energy (0 for the lowest one) in meV per atom: 0

abc: 4.3219 4.3219 4.3219
angles: 60.00 60.00 60.00
Fractional coordinates of all 4 atoms:
1 Cu 0.0000 0.0000 0.0000
2 Ge 0.7500 0.7500 0.7500
3 Ir 0.2500 0.2500 0.2500
4 Os 0.5000 0.5000 0.5000

No. 16
A geometry-optimized CuGeIrPd structure, computed with PBE.

Properties
Polymorph energy (0 for the lowest one) in meV per atom: 0

abc: 4.3354 4.3354 4.3354
angles: 60.00 60.00 60.00
Fractional coordinates of all 4 atoms:
1 Cu 0.0000 0.0000 0.0000
2 Ge 0.7500 0.7500 0.7500
3 Ir 0.5000 0.5000 0.5000
4 Pd 0.2500 0.2500 0.2500

No. 17
A geometry-optimized Pr2CuGe4Ir structure, computed with PBE.

Properties
Final energy in eV per atom: -5.76

abc: 4.3926 8.8259 8.8259
angles: 28.35 90.00 90.00
Fractional coordinates of all 8 atoms:
1 Pr 0.0000 0.0000 0.0000
2 Pr 0.5000 0.2149 0.2149
3 Cu 0.5000 0.4312 0.4312
4 Ge 0.0000 0.3586 0.3586
5 Ge 0.0000 0.6446 0.6446
6 Ge 0.5000 0.5716 0.5716
7 Ge 0.5000 0.8569 0.8569
8 Ir 0.0000 0.7859 0.7859

No. 18
A geometry-optimized Pr3Cu2Ge4Ir2 structure, computed with PBE.

Properties
Final energy in eV per atom: -5.93

abc: 12.9467 12.9467 12.9467
angles: 161.48 161.04 26.63
Fractional coordinates of all 11 atoms:
1 Pr 0.0000 0.0000 0.0000
2 Pr 0.3503 0.8503 0.5000
3 Pr 0.6497 0.1497 0.5000
4 Cu 0.2495 0.2495 0.0000
5 Cu 0.7505 0.7505 0.0000
6 Ge 0.1964 0.6964 0.5000
7 Ge 0.4498 0.4498 0.0000
8 Ge 0.5502 0.5502 0.0000
9 Ge 0.8036 0.3036 0.5000
10 Ir 0.0975 0.5975 0.5000
11 Ir 0.9025 0.4025 0.5000

No. 19
A geometry-optimized CuReGeIr structure, computed with PBE.

Properties
Polymorph energy (0 for the lowest one) in meV per atom: 0

abc: 4.3307 4.3307 4.3307
angles: 60.00 60.00 60.00
Fractional coordinates of all 4 atoms:
1 Cu 0.0000 0.0000 0.0000
2 Re 0.5000 0.5000 0.5000
3 Ge 0.7500 0.7500 0.7500
4 Ir 0.2500 0.2500 0.2500

No. 20
A geometry-optimized ScCuGeIr structure, computed with PBE.

Properties
Polymorph energy (0 for the lowest one) in meV per atom: 0

abc: 4.4301 4.4301 4.4301
angles: 60.00 60.00 60.00
Fractional coordinates of all 4 atoms:
1 Sc 0.0000 0.0000 0.0000
2 Cu 0.7500 0.7500 0.7500
3 Ge 0.5000 0.5000 0.5000
4 Ir 0.2500 0.2500 0.2500